Density functional theory data (PBE) for a geometry-optimized Sr3Pr3ErTe8 structure.

POSCAR file:
```
Sr3Pr3ErTe8
1.0
4.543 2.623 7.716
-4.543 2.623 7.716
0.000 -5.246 7.716
Sr Pr Er Te
3 3 1 8
Direct
0.000 0.500 0.500
0.500 0.000 0.500
0.500 0.500 0.000
0.000 0.000 0.500
0.000 0.500 0.000
0.500 0.000 0.000
0.500 0.500 0.500
0.248 0.248 0.248
0.253 0.740 0.740
0.260 0.260 0.747
0.260 0.747 0.260
0.740 0.253 0.740
0.740 0.740 0.253
0.747 0.260 0.260
0.752 0.752 0.752
```

Results
DOS at the Fermi energy = 0.336 states/eV per atom
M_tot = 0.00 μB/cell
Space group = R-3m, No. 166
Formation energy from raw total energies = -1.5484 eV/atom